Arrangement A

{
  "formula": "PrNd7Sm12",
  "functional": "GGA-PBE",
  "state": "relaxed",
  "lattice_angstrom": [[-5.2256, -6.6690, -2.7467], [-2.9863, -1.6878, 8.2195], [-7.0871, 5.3076, -0.9636]],
  "species": ["Pr", "Nd", "Nd", "Nd", "Nd", "Nd", "Nd", "Nd", "Sm", "Sm", "Sm", "Sm", "Sm", "Sm", "Sm", "Sm", "Sm", "Sm", "Sm", "Sm"],
  "fractional_positions": [[0.0000, 0.0000, 0.0000], [0.8472, 0.6038, 0.9243], [0.3962, 0.0757, 0.1528], [0.0757, 0.1528, 0.3962], [0.5000, 0.5000, 0.5000], [0.9243, 0.8472, 0.6038], [0.6038, 0.9243, 0.8472], [0.1528, 0.3962, 0.0757], [0.8519, 0.2554, 0.7224], [0.7446, 0.2776, 0.1481], [0.6182, 0.1333, 0.4926], [0.8667, 0.5074, 0.3818], [0.2776, 0.1481, 0.7446], [0.5074, 0.3818, 0.8667], [0.4926, 0.6182, 0.1333], [0.7224, 0.8519, 0.2554], [0.1333, 0.4926, 0.6182], [0.3818, 0.8667, 0.5074], [0.2554, 0.7224, 0.8519], [0.1481, 0.7446, 0.2776]],
  "mass_density_g_cm3": 6.97,
  "crystal_system": "trigonal",
  "sg": "No. 148"
}

=====

Arrangement B

{
  "formula": "PrNd7Sm12",
  "functional": "GGA-PBE",
  "state": "relaxed",
  "lattice_angstrom": [[9.4391, 0.0000, -3.3372], [-4.7196, 8.1745, -3.3372], [0.0000, 0.0000, 10.0117]],
  "species": ["Pr", "Nd", "Nd", "Nd", "Nd", "Nd", "Nd", "Nd", "Sm", "Sm", "Sm", "Sm", "Sm", "Sm", "Sm", "Sm", "Sm", "Sm", "Sm", "Sm"],
  "fractional_positions": [[0.0000, 0.0000, 0.0000], [0.5000, 0.5000, 0.0000], [0.0000, 0.5000, 0.5000], [0.5000, 0.0000, 0.5000], [0.5000, 0.5000, 0.5000], [0.0000, 0.0000, 0.5000], [0.5000, 0.0000, 0.0000], [0.0000, 0.5000, 0.0000], [0.4982, 0.7489, 0.7493], [0.9996, 0.7489, 0.2507], [0.5018, 0.2511, 0.2507], [0.0004, 0.2511, 0.7493], [0.7493, 0.0004, 0.2511], [0.7493, 0.4982, 0.7489], [0.2507, 0.9996, 0.7489], [0.2507, 0.5018, 0.2511], [0.7489, 0.7493, 0.4982], [0.2511, 0.2507, 0.5018], [0.7489, 0.2507, 0.9996], [0.2511, 0.7493, 0.0004]],
  "mass_density_g_cm3": 6.35,
  "crystal_system": "cubic",
  "sg": "No. 229"
}

=====

The most stable of them is arrangement A.

=====

Arrangement A

{
  "formula": "Pr6Nd2Sm",
  "functional": "GGA-PBE",
  "state": "relaxed",
  "lattice_angstrom": [[3.5478, 0.5012, 0.2597], [-0.9266, 8.9499, -4.6122], [2.8823, -0.0681, 10.3715]],
  "species": ["Pr", "Pr", "Pr", "Pr", "Pr", "Pr", "Nd", "Nd", "Sm"],
  "fractional_positions": [[0.8323, 0.0008, 0.6674], [0.1677, 0.3334, 0.3326], [0.1677, 0.9992, 0.3326], [0.5000, 0.3320, 0.0000], [0.8323, 0.6666, 0.6674], [0.5000, 0.6680, 0.0000], [0.3334, 0.3333, 0.6666], [0.6666, 0.6667, 0.3334], [0.0000, 0.0000, 0.0000]],
  "mass_density_g_cm3": 6.67,
  "crystal_system": "orthorhombic",
  "sg": "No. 65"
}

=====

Arrangement B

{
  "formula": "Pr6Nd2Sm",
  "functional": "GGA-PBE",
  "state": "relaxed",
  "lattice_angstrom": [[8.3607, 0.0000, 0.0000], [0.0000, 8.3607, 0.0000], [0.0000, 0.0000, 10.6916]],
  "species": ["Pr", "Pr", "Pr", "Pr", "Pr", "Pr", "Pr", "Pr", "Pr", "Pr", "Pr", "Pr", "Nd", "Nd", "Nd", "Nd", "Sm", "Sm"],
  "fractional_positions": [[0.2627, 0.2627, 0.3332], [0.7373, 0.7373, 0.3332], [0.2373, 0.7627, 0.8332], [0.7627, 0.2373, 0.8332], [0.2373, 0.7627, 0.1668], [0.7627, 0.2373, 0.1668], [0.2627, 0.2627, 0.6668], [0.7373, 0.7373, 0.6668], [0.2618, 0.2618, 0.0000], [0.7382, 0.7382, 0.0000], [0.2382, 0.7618, 0.5000], [0.7618, 0.2382, 0.5000], [0.0000, 0.0000, 0.3338], [0.5000, 0.5000, 0.8338], [0.5000, 0.5000, 0.1662], [0.0000, 0.0000, 0.6662], [0.0000, 0.0000, 0.0000], [0.5000, 0.5000, 0.5000]],
  "mass_density_g_cm3": 5.71,
  "crystal_system": "tetragonal",
  "sg": "No. 136"
}

=====

The most stable of them is arrangement A.

=====

Arrangement A

{
  "formula": "Pr3Nd5Sm2",
  "functional": "GGA-PBE",
  "state": "relaxed",
  "lattice_angstrom": [[6.6476, 0.0000, 0.0000], [3.3238, 10.3702, -2.6192], [3.3238, -0.9883, 10.6501]],
  "species": ["Pr", "Pr", "Pr", "Pr", "Pr", "Pr", "Nd", "Nd", "Nd", "Nd", "Nd", "Nd", "Nd", "Nd", "Nd", "Nd", "Sm", "Sm", "Sm", "Sm"],
  "fractional_positions": [[0.4156, 0.4160, 0.7527], [0.9156, 0.7527, 0.4160], [0.5844, 0.5840, 0.2473], [0.0844, 0.2473, 0.5840], [0.2500, 0.0000, 0.0000], [0.7500, 0.0000, 0.0000], [0.2569, 0.4122, 0.0740], [0.7569, 0.0740, 0.4122], [0.7431, 0.5878, 0.9260], [0.2431, 0.9260, 0.5878], [0.5010, 0.7490, 0.7490], [0.4990, 0.2510, 0.2510], [0.7500, 0.5000, 0.5000], [0.2500, 0.5000, 0.5000], [0.9990, 0.2510, 0.2510], [0.0010, 0.7490, 0.7490], [0.0907, 0.7411, 0.0774], [0.5907, 0.0774, 0.7411], [0.9093, 0.2589, 0.9226], [0.4093, 0.9226, 0.2589]],
  "mass_density_g_cm3": 6.69,
  "crystal_system": "orthorhombic",
  "sg": "No. 72"
}

=====

Arrangement B

{
  "formula": "Pr3Nd5Sm2",
  "functional": "GGA-PBE",
  "state": "relaxed",
  "lattice_angstrom": [[-3.1823, -3.2712, 3.2793], [-2.1193, -5.5366, -2.7641], [8.0066, -1.7400, 10.8494]],
  "species": ["Pr", "Pr", "Pr", "Nd", "Nd", "Nd", "Nd", "Nd", "Sm", "Sm"],
  "fractional_positions": [[0.5000, 0.5000, 0.5000], [0.1564, 0.5785, 0.1087], [0.8436, 0.4215, 0.8913], [0.0000, 0.0000, 0.0000], [0.1236, 0.1999, 0.5529], [0.8764, 0.8001, 0.4471], [0.5928, 0.5504, 0.2640], [0.4072, 0.4496, 0.7360], [0.3362, 0.1013, 0.2264], [0.6638, 0.8987, 0.7736]],
  "mass_density_g_cm3": 6.64,
  "crystal_system": "monoclinic",
  "sg": "No. 12"
}

=====

The most stable of them is arrangement B.

=====

Arrangement A

{
  "formula": "PrNd6Sm12",
  "functional": "GGA-PBE",
  "state": "relaxed",
  "lattice_angstrom": [[8.6561, 0.6824, 0.8175], [-0.6378, 8.6595, 0.8175], [-0.6378, -0.7431, 8.6662]],
  "species": ["Pr", "Nd", "Nd", "Nd", "Nd", "Nd", "Nd", "Sm", "Sm", "Sm", "Sm", "Sm", "Sm", "Sm", "Sm", "Sm", "Sm", "Sm", "Sm"],
  "fractional_positions": [[0.0000, 0.0000, 0.0000], [0.7387, 0.9064, 0.3064], [0.6936, 0.2613, 0.0936], [0.0936, 0.6936, 0.2613], [0.2613, 0.0936, 0.6936], [0.3064, 0.7387, 0.9064], [0.9064, 0.3064, 0.7387], [0.7770, 0.5368, 0.4361], [0.4361, 0.7770, 0.5368], [0.5368, 0.4361, 0.7770], [0.2230, 0.4632, 0.5639], [0.5639, 0.2230, 0.4632], [0.4632, 0.5639, 0.2230], [0.0162, 0.1985, 0.3587], [0.8015, 0.6413, 0.9838], [0.6413, 0.9838, 0.8015], [0.9838, 0.8015, 0.6413], [0.1985, 0.3587, 0.0162], [0.3587, 0.0162, 0.1985]],
  "mass_density_g_cm3": 7.04,
  "crystal_system": "trigonal",
  "sg": "No. 148"
}

=====

Arrangement B

{
  "formula": "PrNd6Sm12",
  "functional": "GGA-PBE",
  "state": "relaxed",
  "lattice_angstrom": [[8.8119, -0.1942, -1.2443], [-1.4051, 8.7013, -1.2443], [-0.1691, -0.1942, 8.8977]],
  "species": ["Pr", "Nd", "Nd", "Nd", "Nd", "Nd", "Nd", "Sm", "Sm", "Sm", "Sm", "Sm", "Sm", "Sm", "Sm", "Sm", "Sm", "Sm", "Sm"],
  "fractional_positions": [[0.0000, 0.0000, 0.0000], [0.9040, 0.3424, 0.9040], [0.9040, 0.9040, 0.3424], [0.3424, 0.9040, 0.9040], [0.0960, 0.0960, 0.6576], [0.0960, 0.6576, 0.0960], [0.6576, 0.0960, 0.0960], [0.7583, 0.2417, 0.5000], [0.3556, 0.0829, 0.3556], [0.3556, 0.3556, 0.0829], [0.9171, 0.6444, 0.6444], [0.6444, 0.6444, 0.9171], [0.6444, 0.9171, 0.6444], [0.5000, 0.7583, 0.2417], [0.2417, 0.5000, 0.7583], [0.2417, 0.7583, 0.5000], [0.5000, 0.2417, 0.7583], [0.7583, 0.5000, 0.2417], [0.0829, 0.3556, 0.3556]],
  "mass_density_g_cm3": 6.91,
  "crystal_system": "trigonal",
  "sg": "No. 166"
}

=====

The most stable of them is arrangement A.

=====

Arrangement A

{
  "formula": "PrNd2Sm3",
  "functional": "GGA-PBE",
  "state": "relaxed",
  "lattice_angstrom": [[9.1407, 0.2789, 0.6668], [0.6913, 6.7611, 0.1886], [0.4464, -0.8517, 6.7306]],
  "species": ["Pr", "Pr", "Nd", "Nd", "Nd", "Nd", "Sm", "Sm", "Sm", "Sm", "Sm", "Sm"],
  "fractional_positions": [[0.7500, 0.9154, 0.0846], [0.2500, 0.0846, 0.9154], [0.6255, 0.1272, 0.6240], [0.1255, 0.6240, 0.1272], [0.8745, 0.3760, 0.8728], [0.3745, 0.8728, 0.3760], [0.2500, 0.4182, 0.5818], [0.7500, 0.5818, 0.4182], [0.9994, 0.8346, 0.6673], [0.5006, 0.3327, 0.1654], [0.4994, 0.6673, 0.8346], [0.0006, 0.1654, 0.3327]],
  "mass_density_g_cm3": 7.07,
  "crystal_system": "monoclinic",
  "sg": "No. 15"
}

=====

Arrangement B

{
  "formula": "PrNd2Sm3",
  "functional": "GGA-PBE",
  "state": "relaxed",
  "lattice_angstrom": [[-1.3355, -3.2623, -0.0820], [3.2401, -1.2004, -5.0111], [6.5040, -0.9614, 8.1326]],
  "species": ["Pr", "Nd", "Nd", "Sm", "Sm", "Sm"],
  "fractional_positions": [[0.0000, 0.0000, 0.0000], [0.6409, 0.6409, 0.2818], [0.3591, 0.3591, 0.7182], [0.0000, 0.5000, 0.0000], [0.8113, 0.8113, 0.6226], [0.1887, 0.1887, 0.3774]],
  "mass_density_g_cm3": 6.92,
  "crystal_system": "orthorhombic",
  "sg": "No. 71"
}

=====

The most stable of them is arrangement A.

=====

Arrangement A

{
  "formula": "Pr7Nd3Sm2",
  "functional": "GGA-PBE",
  "state": "relaxed",
  "lattice_angstrom": [[-3.4769, -1.1306, -0.2503], [1.8666, -5.7473, 0.0317], [-1.6364, 0.7355, 19.4077]],
  "species": ["Pr", "Pr", "Pr", "Pr", "Pr", "Pr", "Pr", "Nd", "Nd", "Nd", "Sm", "Sm"],
  "fractional_positions": [[0.5000, 0.7432, 0.4641], [0.5000, 0.2568, 0.5359], [0.0000, 0.6822, 0.1450], [0.0000, 0.0000, 0.0000], [0.0000, 0.3178, 0.8550], [0.5000, 0.8150, 0.8196], [0.5000, 0.1850, 0.1804], [0.5000, 0.5000, 0.0000], [0.0000, 0.2199, 0.3667], [0.0000, 0.7801, 0.6333], [0.5000, 0.7104, 0.2960], [0.5000, 0.2896, 0.7040]],
  "mass_density_g_cm3": 6.63,
  "crystal_system": "monoclinic",
  "sg": "No. 10"
}

=====

Arrangement B

{
  "formula": "Pr7Nd3Sm2",
  "functional": "GGA-PBE",
  "state": "relaxed",
  "lattice_angstrom": [[-1.6877, 0.1594, 3.2050], [-4.5460, -4.2501, -2.1825], [13.2000, -10.6853, 7.4822]],
  "species": ["Pr", "Pr", "Pr", "Pr", "Pr", "Pr", "Pr", "Nd", "Nd", "Nd", "Sm", "Sm"],
  "fractional_positions": [[0.5000, 0.2404, 0.4967], [0.5000, 0.7596, 0.5033], [0.0000, 0.4408, 0.1676], [0.0000, 0.0000, 0.0000], [0.0000, 0.5592, 0.8324], [0.5000, 0.0549, 0.8307], [0.5000, 0.9451, 0.1693], [0.5000, 0.5000, 0.0000], [0.0000, 0.8851, 0.3388], [0.0000, 0.1149, 0.6612], [0.5000, 0.3867, 0.3305], [0.5000, 0.6133, 0.6695]],
  "mass_density_g_cm3": 6.65,
  "crystal_system": "monoclinic",
  "sg": "No. 10"
}

=====

The most stable of them is arrangement B.

=====

Arrangement A

{
  "formula": "Pr4Nd3Sm2",
  "functional": "GGA-PBE",
  "state": "relaxed",
  "lattice_angstrom": [[-0.9445, 4.0954, 4.2034], [-2.0136, 4.5516, -9.0900], [-2.0886, -9.6848, 8.9666]],
  "species": ["Pr", "Pr", "Pr", "Pr", "Nd", "Nd", "Nd", "Sm", "Sm"],
  "fractional_positions": [[0.2790, 0.5579, 0.5990], [0.7210, 0.4421, 0.4010], [0.1406, 0.2812, 0.9112], [0.8594, 0.7188, 0.0888], [0.4302, 0.8603, 0.5432], [0.0000, 0.0000, 0.0000], [0.5698, 0.1397, 0.4568], [0.2617, 0.5234, 0.8255], [0.7383, 0.4766, 0.1745]],
  "mass_density_g_cm3": 6.77,
  "crystal_system": "monoclinic",
  "sg": "No. 12"
}

=====

Arrangement B

{
  "formula": "Pr4Nd3Sm2",
  "functional": "GGA-PBE",
  "state": "relaxed",
  "lattice_angstrom": [[3.6774, 0.0000, 0.0000], [-1.8387, 3.1848, 0.0000], [0.0000, 0.0000, 27.5279]],
  "species": ["Pr", "Pr", "Pr", "Pr", "Nd", "Nd", "Nd", "Sm", "Sm"],
  "fractional_positions": [[0.0000, 0.0000, 0.5440], [0.6667, 0.3333, 0.4333], [0.6667, 0.3333, 0.2139], [0.0000, 0.0000, 0.7658], [0.0000, 0.0000, 0.9838], [0.0000, 0.0000, 0.3208], [0.6667, 0.3333, 0.6543], [0.6667, 0.3333, 0.0881], [0.6667, 0.3333, 0.8733]],
  "mass_density_g_cm3": 6.68,
  "crystal_system": "trigonal",
  "sg": "No. 156"
}

=====

The most stable of them is arrangement B.

=====

Arrangement A

{
  "formula": "Pr6Nd2Sm3",
  "functional": "GGA-PBE",
  "state": "relaxed",
  "lattice_angstrom": [[4.8347, 0.0000, 0.0000], [0.0000, 4.8347, 0.0000], [-2.4173, -2.4173, 17.3476]],
  "species": ["Pr", "Pr", "Pr", "Pr", "Pr", "Pr", "Nd", "Nd", "Sm", "Sm", "Sm"],
  "fractional_positions": [[0.1205, 0.6205, 0.2410], [0.6205, 0.1205, 0.2410], [0.8795, 0.3795, 0.7590], [0.3795, 0.8795, 0.7590], [0.7063, 0.7063, 0.4126], [0.2937, 0.2937, 0.5874], [0.4553, 0.4553, 0.9107], [0.5447, 0.5447, 0.0893], [0.0000, 0.0000, 0.0000], [0.8053, 0.8053, 0.6105], [0.1947, 0.1947, 0.3895]],
  "mass_density_g_cm3": 6.49,
  "crystal_system": "tetragonal",
  "sg": "No. 139"
}

=====

Arrangement B

{
  "formula": "Pr6Nd2Sm3",
  "functional": "GGA-PBE",
  "state": "relaxed",
  "lattice_angstrom": [[2.5513, -0.6554, 5.5892], [5.9851, -1.5289, -0.1341], [25.9924, 5.6718, 14.7297]],
  "species": ["Pr", "Pr", "Pr", "Pr", "Pr", "Pr", "Nd", "Nd", "Sm", "Sm", "Sm"],
  "fractional_positions": [[0.8971, 0.4138, 0.8551], [0.4138, 0.8971, 0.8551], [0.1029, 0.5862, 0.1449], [0.5862, 0.1029, 0.1449], [0.5110, 0.5110, 0.6491], [0.4890, 0.4890, 0.3509], [0.1653, 0.1653, 0.3337], [0.8347, 0.8347, 0.6663], [0.0000, 0.0000, 0.0000], [0.6612, 0.6612, 0.4017], [0.3388, 0.3388, 0.5983]],
  "mass_density_g_cm3": 6.32,
  "crystal_system": "monoclinic",
  "sg": "No. 12"
}

=====

The most stable of them is arrangement A.